Entry from Alexandria via LeMat-Bulk: an optimized crystal structure of CoCu2HgF8 (PBE with a Hubbard U).

a b c (Å): 6.5182 6.5182 6.5182
angles (deg): 132.04 132.04 70.17
Fractional coordinates of all 12 atoms:
Co1 0.0000 0.0000 0.0000
Cu1 0.2500 0.7500 0.5000
Cu2 0.5000 0.5000 0.0000
Hg1 0.7500 0.2500 0.5000
F1 0.0928 0.6615 0.9450
F2 0.1957 0.1227 0.6069
F3 0.3385 0.2835 0.4314
F4 0.4113 0.8043 0.9270
F5 0.5157 0.5887 0.3931
F6 0.7165 0.1479 0.0550
F7 0.8521 0.9072 0.5686
F8 0.8773 0.4843 0.0730

Energy ... -3.884 eV/atom
N(E_F) ... 11.5 states/eV/cell
SG ... I-4 (82)